[1]
CsCdNiS3 | PBE | optimized geometry

```
data_CsCdNiS3
_cell_length_a 3.723
_cell_length_b 15.455
_cell_length_c 10.716
_cell_angle_alpha 90.00
_cell_angle_beta 90.00
_cell_angle_gamma 90.00
_space_group_name_H-M_alt 'C m c m'
_space_group_IT_number 63
_space_group_name_Hall '-C 2c 2'
loop_
_atom_site_label
_atom_site_fract_x
_atom_site_fract_y
_atom_site_fract_z
_atom_site_occupancy
Cs1 0.000 0.245 0.250 1
Cd1 0.000 0.039 0.750 1
Ni1 0.000 0.500 0.000 1
S1 0.000 0.091 0.529 1
S2 0.000 0.433 0.750 1
```

The energy above the most stable polymorph in this dataset comes out at 135 meV per atom.

---

[2]
GdTmIn4Ni2 | PBE | optimized geometry

```
data_GdTmIn4Ni2
_cell_length_a 7.420
_cell_length_b 4.318
_cell_length_c 10.443
_cell_angle_alpha 90.00
_cell_angle_beta 90.00
_cell_angle_gamma 90.00
_space_group_name_H-M_alt 'A m m 2'
_space_group_IT_number 38
loop_
_space_group_symop_operation_xyz
'x,y,z'
'-x,-y,z'
'-x,y,z'
'x,-y,z'
'x,y+1/2,z+1/2'
'-x,-y+1/2,z+1/2'
'-x,y+1/2,z+1/2'
'x,-y+1/2,z+1/2'
loop_
_atom_site_label
_atom_site_fract_x
_atom_site_fract_y
_atom_site_fract_z
_atom_site_occupancy
Gd1 0.000 0.000 0.000 1
Tm1 0.500 0.000 0.136 1
In1 0.202 0.000 0.711 1
In2 0.301 0.000 0.425 1
Ni1 0.000 0.000 0.284 1
Ni2 0.500 0.000 0.854 1
```

The raw total energy is -4.34 eV/atom.

---

Results for total magnetic moment: 0.43, 0.01 (in μB per cell, following the order of the records).